Here is crystalline RbMg6Bi at its relaxed geometry from Alexandria. Energies are from PBE.

a b c (Å): 5.0978 6.2296 17.7256
angles (deg): 90.00 90.00 90.00
With the nearest neighbours (Å) after each atom.
Space group Amm2 (No. 38)
Unique sites:
Rb 0.0000 0.0000 0.0000 (multiplicity 2)  2 Bi 3.86, 8 Mg 4.02-4.18
Mg 0.0000 0.2487 0.7185 (multiplicity 4)  8 Mg 3.08-3.26, 1 Bi 3.13
Mg 0.5000 0.0000 0.1751 (multiplicity 2)  8 Mg 3.09-3.23
Mg 0.5000 0.0000 0.6758 (multiplicity 2)  8 Mg 3.08-3.16
Mg 0.5000 0.2403 0.8331 (multiplicity 4)  6 Mg 2.99-3.26, 2 Bi 3.10
Bi 0.0000 0.0000 0.3717 (multiplicity 2)  6 Mg 3.10-3.13

Summary:
**Formation energy from the elements**: 0.06 eV/atom
**Total energy**: -1.74 eV/atom
**Density**: 2.60 Mg/m³
**Magnetic moment**: 0.000 μB per atom

Here is crystalline Ca2YBiC at its relaxed geometry from Alexandria. Energies are from PBE.

a b c (Å): 5.0256 5.0256 4.9433
angles (deg): 90.00 90.00 90.00
With the nearest neighbours (Å) after each atom.
Space group P4/mmm (No. 123)
Unique sites:
Ca 0.0000 0.5000 0.0000 (multiplicity 2)  2 C 2.51
Y 0.0000 0.0000 0.5000 (multiplicity 1)  2 C 2.47
Bi 0.5000 0.5000 0.5000 (multiplicity 1)  8 Ca 3.52, 4 Y 3.55
C 0.0000 0.0000 0.0000 (multiplicity 1)  2 Y 2.47, 4 Ca 2.51

Summary:
**Formation energy from the elements**: -0.48 eV/atom
**Total energy**: -5.20 eV/atom
**Density**: 5.19 Mg/m³
**Magnetic moment**: 0.000 μB per atom

Here is crystalline La4GeAuCl2 at its relaxed geometry from Alexandria. Energies are from PBE.

a b c (Å): 7.1968 4.3649 7.7352
angles (deg): 90.00 109.99 90.00
With the nearest neighbours (Å) after each atom.
Space group P2/m (No. 10)
Unique sites:
La 0.2473 0.0000 0.2422 (multiplicity 2)  3 Cl 3.02-3.09, 2 Ge 3.03, 1 Au 3.09
La 0.2469 0.5000 0.7543 (multiplicity 2)  1 Ge 3.01, 3 Cl 3.05-3.10, 2 Au 3.07
Ge 0.0000 0.5000 0.0000 (multiplicity 1)  6 La 3.01-3.03
Au 0.0000 0.0000 0.5000 (multiplicity 1)  6 La 3.07-3.09
Cl 0.5000 0.0000 0.0000 (multiplicity 1)  6 La 3.02-3.05
Cl 0.5000 0.5000 0.5000 (multiplicity 1)  6 La 3.09-3.10

Summary:
**Total energy**: -5.16 eV/atom
**Density**: 6.52 Mg/m³
**Magnetic moment**: 0.000 μB per atom

Here is crystalline HgAsPb at its relaxed geometry from Alexandria. Energies are from PBE.

a b c (Å): 3.5639 3.5639 12.2820
angles (deg): 90.00 90.00 90.00
With the nearest neighbours (Å) after each atom.
Space group I4mm (No. 107)
Unique sites:
Hg 0.0000 0.0000 0.0000 (multiplicity 2)  4 As 3.16, 4 Pb 3.49
As 0.0000 0.0000 0.3442 (multiplicity 2)  4 Pb 3.10, 4 Hg 3.16
Pb 0.0000 0.0000 0.6968 (multiplicity 2)  4 As 3.10

Summary:
**Formation energy from the elements**: 0.17 eV/atom
**Total energy**: -2.71 eV/atom
**Density**: 10.28 Mg/m³
**Magnetic moment**: 0.000 μB per atom